# CaSbTe2Ru (PBE, optimized geometry)
data_CaSbTe2Ru
_chemical_formula_sum 'Ca1 Sb1 Te2 Ru1'
_cell_length_a 5.5050
_cell_length_b 5.5050
_cell_length_c 4.9190
_cell_angle_alpha 90.00
_cell_angle_beta 90.00
_cell_angle_gamma 90.00
_symmetry_space_group_name_H-M 'P 4/m m m'
_symmetry_Int_Tables_number 123
_symmetry_space_group_name_Hall '-P 4 2'
loop_
_atom_site_label
_atom_site_type_symbol
_atom_site_fract_x
_atom_site_fract_y
_atom_site_fract_z
_atom_site_occupancy
Ca1 Ca 0.0000 0.0000 0.0000 1
Sb1 Sb 0.5000 0.5000 0.0000 1
Te1 Te 0.0000 0.5000 0.5000 1
Ru1 Ru 0.5000 0.5000 0.5000 1
# Crystal system: tetragonal
# ΔE_f (raw) (meV/atom): -113
# E_tot (eV/atom): -4.4499